# 1
Compound: LiGa8Ni2
Source: the Alexandria database
Functional: PBE
Structure: relaxed

a = 4.562 Å, b = 6.517 Å, c = 6.517 Å
α = 105.81°, β = 95.72°, γ = 95.72°
Element x y z (fractional)
Ga1 0.876 0.664 0.918
Ga2 0.285 0.627 0.627
Ga3 0.876 0.918 0.664
Ga4 0.500 0.268 0.732
Ga5 0.124 0.336 0.082
Ga6 0.124 0.082 0.336
Ga7 0.500 0.732 0.268
Ga8 0.715 0.373 0.373
Ni1 0.000 0.696 0.304
Ni2 0.000 0.304 0.696
Li1 0.500 0.000 0.000

Summary:
The formation energy is -193 meV per atom.

=====

# 2
Compound: ThSc2Tl
Source: the Alexandria database
Functional: PBE
Structure: relaxed

a = 3.420 Å, b = 3.420 Å, c = 10.668 Å
α = 80.78°, β = 80.78°, γ = 60.00°
Element x y z (fractional)
Sc1 0.078 0.078 0.765
Sc2 0.255 0.255 0.235
Tl1 0.667 0.667 0.000
Th1 0.500 0.500 0.499

Summary:
The formation energy is -57 meV per atom.

=====

# 3
Compound: InTeAu
Source: the Alexandria database
Functional: PBE
Structure: relaxed

a = 4.605 Å, b = 4.402 Å, c = 9.157 Å
α = 72.90°, β = 86.26°, γ = 89.82°
Element x y z (fractional)
Au1 0.167 0.515 0.882
Au2 0.433 0.096 0.443
In1 0.929 0.668 0.573
In2 0.936 0.927 0.032
Te1 0.482 0.096 0.740
Te2 0.428 0.725 0.254

Summary:
As for the calculated total energy: -3.186 eV/atom.

=====

# 4
Compound: LiGa2Au2
Source: the Alexandria database
Functional: PBE
Structure: relaxed

a = 7.522 Å, b = 7.522 Å, c = 3.247 Å
α = 90.00°, β = 90.00°, γ = 90.00°
Element x y z (fractional)
Li1 0.500 0.500 0.000
Li2 0.000 0.000 0.000
Au1 0.146 0.354 0.000
Au2 0.854 0.646 0.000
Au3 0.354 0.854 0.000
Au4 0.646 0.146 0.000
Ga1 0.844 0.344 0.500
Ga2 0.156 0.656 0.500
Ga3 0.656 0.844 0.500
Ga4 0.344 0.156 0.500

Summary:
The formation energy is -257 meV per atom.

=====

# 5
Compound: CaHf2Ta
Source: the Alexandria database
Functional: PBE
Structure: relaxed

a = 5.026 Å, b = 5.026 Å, c = 5.026 Å
α = 60.00°, β = 60.00°, γ = 60.00°
Element x y z (fractional)
Hf1 0.750 0.750 0.750
Hf2 0.250 0.250 0.250
Ca1 0.000 0.000 0.000
Ta1 0.500 0.500 0.500

Summary:
The formation energy is 517 meV per atom.

=====

# 6
Compound: CsPu2TaO8
Source: the Alexandria database
Functional: PBE
Structure: relaxed

a = 4.725 Å, b = 4.767 Å, c = 9.694 Å
α = 81.29°, β = 89.01°, γ = 91.08°
Element x y z (fractional)
Pu1 0.423 0.471 0.822
Pu2 0.577 0.529 0.178
O1 0.772 0.121 0.154
O2 0.849 0.281 0.846
O3 0.151 0.719 0.154
O4 0.505 0.618 0.636
O5 0.228 0.879 0.846
O6 0.495 0.382 0.364
O7 0.690 0.707 0.982
O8 0.310 0.293 0.018
Ta1 0.000 0.000 0.000
Cs1 0.000 0.000 0.500

Summary:
As for the calculated total energy: -9.268 eV/atom.

=====

# 7
Compound: Nd2Y4As3N2
Source: the Alexandria database
Functional: PBE
Structure: relaxed

a = 4.568 Å, b = 4.568 Å, c = 12.501 Å
α = 100.53°, β = 100.53°, γ = 90.00°
Element x y z (fractional)
Y1 0.079 0.579 0.159
Y2 0.421 0.921 0.841
Y3 0.579 0.079 0.159
Y4 0.921 0.421 0.841
N1 0.597 0.597 0.193
N2 0.403 0.403 0.807
As1 0.174 0.174 0.347
As2 0.826 0.826 0.653
As3 0.000 0.000 0.000
Nd1 0.304 0.304 0.608
Nd2 0.696 0.696 0.392

Summary:
As for the calculated total energy: -7.316 eV/atom.

=====

# 8
Compound: Cs2RbHgF5
Source: the Alexandria database
Functional: PBE
Structure: relaxed

a = 4.610 Å, b = 6.684 Å, c = 8.157 Å
α = 114.19°, β = 106.41°, γ = 90.00°
Element x y z (fractional)
Hg1 0.500 0.000 0.000
F1 0.380 0.125 0.760
F2 0.380 0.635 0.760
F3 0.000 0.000 0.000
F4 0.620 0.365 0.240
F5 0.620 0.875 0.240
Cs1 0.789 0.789 0.577
Cs2 0.211 0.211 0.423
Rb1 0.000 0.500 0.000

Summary:
As for the calculated total energy: -3.644 eV/atom.